# AcInTeO6 | Alexandria | PBE-GGA | relaxed
# Size of the total moment, μB per cell: 0.0
# Raw formation energy, eV/atom: -1.96
data_AcInTeO6
_cell_length_a 5.4968
_cell_length_b 5.4968
_cell_length_c 10.6507
_cell_angle_alpha 90.00
_cell_angle_beta 90.00
_cell_angle_gamma 120.00
_space_group_name_H-M_alt 'P -3 1 c'
_space_group_IT_number 163
_space_group_name_Hall '-P 3 2c'
loop_
_atom_site_label
_atom_site_fract_x
_atom_site_fract_y
_atom_site_fract_z
_atom_site_occupancy
Ac1 0.0000 0.0000 0.0000 1
In1 0.3333 0.6667 0.2500 1
Te1 0.3333 0.6667 0.7500 1
O1 0.0318 0.3849 0.6442 1


# TmHf2Al9 | Alexandria | PBE-GGA | relaxed
# ΔH_f (0 K), eV/atom: -0.267
# Size of the total moment, μB per cell: 0.0
# Offset from the most stable computed form, eV/f.u.: 1.417
data_TmHf2Al9
_cell_length_a 5.3277
_cell_length_b 5.3277
_cell_length_c 26.3564
_cell_angle_alpha 90.00
_cell_angle_beta 90.00
_cell_angle_gamma 120.00
_space_group_name_H-M_alt 'R -3 m'
_space_group_IT_number 166
_space_group_name_Hall '-R 3 2"'
loop_
_atom_site_label
_atom_site_fract_x
_atom_site_fract_y
_atom_site_fract_z
_atom_site_occupancy
Tm1 0.0000 0.0000 0.0000 1
Hf1 0.0000 0.0000 0.1451 1
Al1 0.0000 0.0000 0.3340 1
Al2 0.0000 0.0000 0.5000 1
Al3 0.0056 0.5028 0.9131 1


# Ce2Zn12Ag5 | Alexandria | PBE-GGA | relaxed
# ΔH_f (0 K), eV/atom: -0.159
# Size of the total moment, μB per cell: 5.0
data_Ce2Zn12Ag5
_cell_length_a 9.2573
_cell_length_b 9.2573
_cell_length_c 13.5434
_cell_angle_alpha 90.00
_cell_angle_beta 90.00
_cell_angle_gamma 120.00
_space_group_name_H-M_alt 'R -3 m'
_space_group_IT_number 166
_space_group_name_Hall '-R 3 2"'
loop_
_atom_site_label
_atom_site_fract_x
_atom_site_fract_y
_atom_site_fract_z
_atom_site_occupancy
Ce1 0.0000 0.0000 0.1559 1
Zn1 0.0000 0.3001 0.5000 1
Zn2 0.0126 0.5063 0.6540 1
Ag1 0.0000 0.0000 0.3964 1
Ag2 0.0000 0.5000 0.0000 1


# P2Rh | Alexandria | PBE-GGA | relaxed
# ΔH_f (0 K), eV/atom: -0.248
# Size of the total moment, μB per cell: 0.0
data_P2Rh
_cell_length_a 3.258
_cell_length_b 3.510
_cell_length_c 8.203
_cell_angle_alpha 79.92
_cell_angle_beta 89.95
_cell_angle_gamma 89.66
_space_group_name_H-M_alt 'P -1'
_space_group_IT_number 2
loop_
_space_group_symop_operation_xyz
'x,y,z'
'-x,-y,-z'
loop_
_atom_site_label
_atom_site_fract_x
_atom_site_fract_y
_atom_site_fract_z
_atom_site_occupancy
P1 0.249 0.300 0.401 1
P2 0.250 0.529 0.908 1
Rh1 0.248 0.100 0.708 1


# ZnNi6Rh | Alexandria | PBE-GGA | relaxed
# ΔH_f (0 K), eV/atom: -0.048
# Size of the total moment, μB per cell: 15.7
# Offset from the most stable computed form, eV/f.u.: 0.023
data_ZnNi6Rh
_cell_length_a 5.103
_cell_length_b 7.165
_cell_length_c 10.231
_cell_angle_alpha 90.00
_cell_angle_beta 90.00
_cell_angle_gamma 90.00
_space_group_name_H-M_alt 'F m m m'
_space_group_IT_number 69
_space_group_name_Hall '-F 2 2'
loop_
_atom_site_label
_atom_site_fract_x
_atom_site_fract_y
_atom_site_fract_z
_atom_site_occupancy
Zn1 0.000 0.000 0.000 1
Ni1 0.000 0.000 0.251 1
Ni2 0.250 0.250 0.130 1
Rh1 0.000 0.000 0.500 1


# NaMg2Pb4 | Alexandria | PBE-GGA | relaxed
# ΔH_f (0 K), eV/atom: 0.022
# Size of the total moment, μB per cell: 0.0
# Offset from the most stable computed form, eV/f.u.: 0.000
data_NaMg2Pb4
_cell_length_a 14.498
_cell_length_b 14.498
_cell_length_c 10.833
_cell_angle_alpha 90.00
_cell_angle_beta 131.94
_cell_angle_gamma 90.00
_space_group_name_H-M_alt 'C 1 2/c 1'
_space_group_IT_number 15
loop_
_space_group_symop_operation_xyz
'x,y,z'
'-x,-y,-z'
'-x,y,-z+1/2'
'x,-y,z+1/2'
'x+1/2,y+1/2,z'
'-x+1/2,-y+1/2,-z'
'-x+1/2,y+1/2,-z+1/2'
'x+1/2,-y+1/2,z+1/2'
loop_
_atom_site_label
_atom_site_fract_x
_atom_site_fract_y
_atom_site_fract_z
_atom_site_occupancy
Na1 0.000 0.000 0.000 1
Na2 0.250 0.250 0.000 1
Mg1 0.002 0.267 0.039 1
Mg2 0.212 0.482 0.460 1
Pb1 0.000 0.111 0.250 1
Pb2 0.000 0.361 0.750 1
Pb3 0.000 0.500 0.000 1
Pb4 0.236 0.125 0.750 1
Pb5 0.240 0.125 0.231 1
Pb6 0.250 0.250 0.500 1


# CeHoLuIn | Alexandria | PBE-GGA | relaxed
# ΔH_f (0 K), eV/atom: -0.053
# Size of the total moment, μB per cell: 0.8
data_CeHoLuIn
_cell_length_a 7.563
_cell_length_b 7.563
_cell_length_c 7.563
_cell_angle_alpha 90.00
_cell_angle_beta 90.00
_cell_angle_gamma 90.00
_space_group_name_H-M_alt 'F -4 3 m'
_space_group_IT_number 216
_space_group_name_Hall 'F -4 2 3'
loop_
_atom_site_label
_atom_site_fract_x
_atom_site_fract_y
_atom_site_fract_z
_atom_site_occupancy
Ce1 0.000 0.000 0.000 1
Ho1 0.250 0.250 0.250 1
Lu1 0.250 0.250 0.750 1
In1 0.000 0.000 0.500 1


# CaHfCuAg2 | Alexandria | PBE-GGA | relaxed
# ΔH_f (0 K), eV/atom: 0.381
# Size of the total moment, μB per cell: 0.0
# Offset from the most stable computed form, eV/f.u.: 0.000
data_CaHfCuAg2
_cell_length_a 4.967
_cell_length_b 4.967
_cell_length_c 4.777
_cell_angle_alpha 90.00
_cell_angle_beta 90.00
_cell_angle_gamma 90.00
_space_group_name_H-M_alt 'P 4/m m m'
_space_group_IT_number 123
_space_group_name_Hall '-P 4 2'
loop_
_atom_site_label
_atom_site_fract_x
_atom_site_fract_y
_atom_site_fract_z
_atom_site_occupancy
Ca1 0.000 0.000 0.000 1
Hf1 0.500 0.500 0.000 1
Cu1 0.500 0.500 0.500 1
Ag1 0.000 0.500 0.500 1


- What is the size of the total moment in the fourth record?
  0.0 μB per cell